A PBEsol-optimized structure of SrSm2Nb2O9, computed with meta-GGA SCAN.

Summary:
DOS at the Fermi energy	0.000	states/eV/f.u.
energy relative to the elements, uncorrected	-3.28	eV/atom
E	-19.9585	eV/atom

Cell: 5.5471 5.6317 12.6384 Å, 90.00 102.68 90.00°
Last column: nearest neighbours and their distance in Å.
Positions (direct):
Sr  0.2442  0.9342  0.0000  6 O 2.46-2.56
Sr  0.7558  0.4342  0.0000  6 O 2.46-2.56
Sm  0.9856  0.5212  0.4087  6 O 2.26-2.45
Sm  0.0144  0.0212  0.5913  6 O 2.26-2.45
Sm  0.4231  0.0212  0.4087  6 O 2.26-2.45
Sm  0.5769  0.5212  0.5913  6 O 2.26-2.45
Nb  0.1658  0.4174  0.8307  3 O 1.87-1.94
Nb  0.8342  0.9174  0.1693  3 O 1.87-1.94
Nb  0.6649  0.9174  0.8307  3 O 1.87-1.94
Nb  0.3351  0.4174  0.1693  3 O 1.87-1.94
O  0.3169  0.3776  0.0000  2 Nb 2.13
O  0.6831  0.8776  0.0000  2 Nb 2.13
O  0.9809  0.3911  0.6889  1 Nb 1.87
O  0.0191  0.8911  0.3111  1 Nb 1.87
O  0.7080  0.8911  0.6889  1 Nb 1.87
O  0.2920  0.3911  0.3111  1 Nb 1.87
O  0.2554  0.7631  0.5185  4 Sm 2.26-2.34
O  0.7446  0.2631  0.4815  4 Sm 2.26-2.34
O  0.2631  0.2631  0.5185  4 Sm 2.26-2.34
O  0.7369  0.7631  0.4815  4 Sm 2.26-2.34
O  0.9664  0.6667  0.8716  1 Nb 1.93
O  0.0336  0.1667  0.1284  1 Nb 1.93
O  0.9053  0.1667  0.8716  1 Nb 1.93
O  0.0947  0.6667  0.1284  1 Nb 1.93
O  0.6374  0.5996  0.1872  2 Nb 1.94-2.13
O  0.3626  0.0996  0.8128  2 Nb 1.94-2.13
O  0.5497  0.0996  0.1872  2 Nb 1.94-2.13
O  0.4503  0.5996  0.8128  2 Nb 1.94-2.13